DFT (GGA+U) results for a relaxed structure of LiVCrP2H2O10.

ΔE to the lowest computed polymorph ... 0 meV per atom
Symmetry ... P1, No. 1

Cell: 5.230 5.198 8.672 Å, 113.45 92.29 102.66°
Site moments in Bohr magnetons follow the coordinates.
Fractional coordinates of all 17 atoms:
Li1 0.251 0.861 0.144  0.00
V1 0.006 0.071 0.510  2.71
Cr1 0.727 0.840 0.875  3.05
P1 0.242 0.809 0.786  -0.03
P2 0.014 0.382 0.247  0.01
H1 0.385 0.367 0.149  0.00
H2 0.665 0.396 0.022  0.00
O1 0.550 0.475 0.682  0.00
O2 0.873 0.260 0.361  0.00
O3 0.273 0.485 0.634  -0.01
O4 0.578 0.760 0.058  -0.05
O5 0.869 0.250 0.061  0.00
O6 0.062 0.724 0.909  -0.02
O7 0.491 0.446 0.005  0.01
O8 0.076 0.716 0.309  -0.01
O9 0.042 0.909 0.696  -0.03
O10 0.290 0.293 0.231  0.00